First-principles (GGA-PBE) data for an optimized crystal structure of AcNpNbO6, as listed in Alexandria.

Output
- DOS at the Fermi energy (states/eV/cell) = 19.7
- E (eV/f.u.) = -82.475
- formation energy without anion corrections (eV per atom) = -2.845
- magnetic moment (μB per formula unit) = 3.00
- V (Å³ per cell) = 270.7

a b c (Å): 5.8557 5.8557 9.1174
angles (deg): 90.00 90.00 120.00
Each line ends with the local moment (μB).
Fractional coordinates of all 18 atoms:
1 O 0.2943 0.9354 0.6261  -0.04
2 Nb 0.6667 0.3333 0.2500  0.17
3 O 0.0646 0.3589 0.6261  -0.04
4 Np 0.0000 0.0000 0.0000  2.98
5 Ac 0.3333 0.6667 0.2500  0.01
6 O 0.7057 0.0646 0.3739  -0.04
7 Nb 0.3333 0.6667 0.7500  0.17
8 O 0.3589 0.0646 0.1261  -0.04
9 Ac 0.6667 0.3333 0.7500  0.01
10 O 0.7057 0.6411 0.1261  -0.04
11 O 0.9354 0.2943 0.1261  -0.04
12 O 0.6411 0.9354 0.8739  -0.04
13 O 0.3589 0.2943 0.3739  -0.04
14 O 0.2943 0.3589 0.8739  -0.04
15 O 0.6411 0.7057 0.6261  -0.04
16 Np 0.0000 0.0000 0.5000  2.98
17 O 0.0646 0.7057 0.8739  -0.04
18 O 0.9354 0.6411 0.3739  -0.04